[1]
Density functional theory data (GGA-PBE) for a relaxed Pm4In2S crystal.

```
Pm4In2S
1.0
5.2644 0.0000 0.0000
0.0000 5.2644 0.0000
-2.6322 -2.6322 8.0799
In S Pm
2 1 4
Cartesian
2.6322 2.6322 2.0769
0.0000 0.0000 6.0030
0.0000 0.0000 0.0000
2.6322 2.6322 5.2792
0.0000 0.0000 2.8007
0.0000 2.6322 0.0000
2.6322 0.0000 0.0000
```

N(E_F)   6.13 states/eV/cell
V   31.99 Å³ per atom
Polymorph energy (0 for the lowest one)   0.160 eV per atom
Formation energy (no corrections)   -694 meV/atom

***

[2]
Density functional theory data (GGA-PBE) for a relaxed Pm2InS crystal.

```
Pm2InS
1.0
4.4134 0.0000 0.0000
0.0000 4.0081 -0.7119
0.0000 0.0697 12.0317
Pm In S
4 2 2
Cartesian
1.1033 0.3231 1.8190
1.1033 1.2889 7.2568
3.3100 2.7889 4.0630
3.3100 3.7547 9.5008
3.3100 2.1728 0.5941
1.1033 1.9050 10.7257
1.1033 0.8041 4.5274
3.3100 3.2737 6.7924
```

N(E_F)   4.25 states/eV/cell
V   26.63 Å³ per atom
Polymorph energy (0 for the lowest one)   0.003 eV per atom
Formation energy (no corrections)   -1212 meV/atom

***

[3]
Density functional theory data (GGA-PBE) for a relaxed PmInSiS4 crystal.

```
PmInSiS4
1.0
6.5438 0.0000 0.0243
0.0000 6.5674 0.0000
-2.5340 0.0000 8.3140
S In Pm Si
8 2 2 2
Cartesian
1.7027 1.6418 6.9606
-0.6637 0.0199 2.3518
2.3070 4.9255 1.3777
1.2201 4.9255 4.7357
4.6734 3.3036 5.9865
-0.6637 3.2638 2.3518
2.7896 1.6418 3.6026
4.6734 6.5474 5.9865
1.5340 1.6418 0.6462
2.4757 4.9255 7.6921
0.1159 1.6418 4.6210
3.8938 4.9255 3.7173
0.6419 4.9255 2.6731
3.3678 1.6418 5.6652
```

N(E_F)   0.00 states/eV/cell
V   25.55 Å³ per atom
Formation energy (no corrections)   -1121 meV/atom

***

[4]
Density functional theory data (GGA-PBE) for a relaxed PmIn2SnS4 crystal.

```
PmIn2SnS4
1.0
-3.4632 -2.0848 0.5386
1.8583 -4.5071 -5.4963
3.7678 -5.5569 2.7181
S Pm In Sn
4 1 2 1
Cartesian
0.6274 -5.8016 -2.9832
4.1672 -7.4468 -2.0289
1.5355 -6.3472 0.7437
-2.0042 -4.7020 -0.2106
2.8131 -5.0320 -1.3890
0.1523 -3.8208 1.6284
3.7678 -5.5569 2.7181
-0.8024 -3.2959 -2.4788
```

N(E_F)   4.05 states/eV/cell
V   25.69 Å³ per atom
Formation energy (no corrections)   -835 meV/atom

***

[5]
Density functional theory data (GGA-PBE) for a relaxed Pm2Tl3InS6 crystal.

```
Pm2Tl3InS6
1.0
-1.5831 2.9088 -6.2268
-1.0905 -6.8901 1.0385
-6.0630 2.8053 4.1946
Pm S Tl In
2 6 3 1
Cartesian
-1.4186 -0.3622 -3.8015
-1.2549 -3.6191 -1.3867
-5.4949 1.2233 2.0225
-1.8820 1.2171 -1.4951
-6.8545 -2.3931 0.5015
-3.2416 -2.3993 -3.0161
-1.7253 -1.9013 0.8170
-7.0113 0.7253 -1.8107
-4.2056 -3.8241 1.9026
-4.3683 -0.5880 -0.4968
-4.5310 2.6482 -2.8963
0.0000 0.0000 0.0000
```

V   27.04 Å³ per atom
Formation energy (no corrections)   -1115 meV/atom

***

[6]
Density functional theory data (GGA-PBE) for a relaxed Pm3Tl4InS8 crystal.

```
Pm3Tl4InS8
1.0
8.1900 0.0000 0.0000
0.0000 8.8665 0.4680
-4.0950 -4.0895 5.7958
Tl In Pm S
4 1 3 8
Cartesian
2.0475 -2.0448 2.8979
4.0950 0.0000 0.0000
0.0000 0.0000 0.0000
-2.0475 -2.0448 2.8979
0.0000 4.4333 0.2340
-2.0475 2.3885 3.1319
2.0475 2.3885 3.1319
4.0950 4.4333 0.2340
0.0000 4.3482 2.9715
6.2120 2.5428 0.2980
1.9780 2.5428 0.2980
-2.1170 2.2343 5.9658
0.0000 0.4556 3.2153
2.1170 2.2343 5.9658
4.0950 4.3214 3.0484
4.0950 0.4288 3.2922
```

N(E_F)   0.18 states/eV/cell
V   27.28 Å³ per atom
Formation energy (no corrections)   -1198 meV/atom

***

Among the records above, which one has the lowest V?
PmInSiS4

***

What did the first record say?
Density functional theory data (GGA-PBE) for a relaxed Pm4In2S crystal.

```
Pm4In2S
1.0
5.2644 0.0000 0.0000
0.0000 5.2644 0.0000
-2.6322 -2.6322 8.0799
In S Pm
2 1 4
Cartesian
2.6322 2.6322 2.0769
0.0000 0.0000 6.0030
0.0000 0.0000 0.0000
2.6322 2.6322 5.2792
0.0000 0.0000 2.8007
0.0000 2.6322 0.0000
2.6322 0.0000 0.0000
```

N(E_F)   6.13 states/eV/cell
V   31.99 Å³ per atom
Polymorph energy (0 for the lowest one)   0.160 eV per atom
Formation energy (no corrections)   -694 meV/atom